A plane-wave DFT calculation with PBE-GGA was carried out for an optimized crystal structure of Ac5Tl2Te2.

Lattice parameters (Å, degrees): 9.5343 9.5343 9.0647 90.00 90.00 55.58
Atoms (fractional coordinates):
Ac 0.0000 0.0000 0.0000
Ac 0.0301 0.6935 0.6615
Ac 0.1935 0.5301 0.1615
Ac 0.3065 0.9699 0.6615
Ac 0.4699 0.8065 0.1615
Ac 0.5000 0.5000 0.5000
Ac 0.5301 0.1935 0.8385
Ac 0.6935 0.0301 0.3385
Ac 0.8065 0.4699 0.8385
Ac 0.9699 0.3065 0.3385
Tl 0.2028 0.2028 0.0000
Tl 0.2972 0.2972 0.5000
Tl 0.7028 0.7028 0.5000
Tl 0.7972 0.7972 0.0000
Te 0.1387 0.8613 0.3579
Te 0.3613 0.6387 0.8579
Te 0.6387 0.3613 0.1421
Te 0.8613 0.1387 0.6421

Summary:
Uncorrected formation energy in meV per atom: -733